Material: HgAu
Method: DFT, PBE
State: relaxed

Properties
E	-10.53	eV per cell
ΔE_f	35	meV per atom
total moment	0.0	μB per formula unit
Fermi-level density of states	0.13	states/eV/atom

Cell lengths 7.258, 7.258, 12.593 Å; angles 146.79, 146.79, 22.91 degrees
Sites, in units of the cell vectors:
1 Au 0.247 0.247 0.810
2 Au 0.058 0.058 0.009
3 Au 0.587 0.587 0.250
4 Hg 0.762 0.762 0.039
5 Hg 0.271 0.271 0.600
6 Hg 0.408 0.408 0.459